## Al5C (meta-GGA SCAN)

Data for Al5C at its PBEsol-relaxed geometry.

The total energy is -94.12 eV per cell. The density of states at the Fermi level is 4.59 states/eV/cell.

The structure belongs to space group Cmmm (No. 65); the cell edges are 4.811, 12.508 and 2.924 Å and the angles 90.00°, 90.00° and 90.00°. The distinct sites, in fractional coordinates, are Al at (0.000, 0.000, 0.000), Al at (0.000, 0.194, 0.500), Al at (0.000, 0.389, 0.000) and C at (0.000, 0.500, 0.500).